[1]
Material: VHgAs2C
Method: DFT, PBE
State: relaxed

For the density of states at the Fermi level, the calculation gives 3.6 states/eV per cell. The electronic total energy comes out at -20.27 eV per formula unit. The energy of formation from the pure elements comes out at 1536 meV per atom.

The structure belongs to space group P4/mmm (No. 123); the cell edges are 4.652, 4.652 and 5.416 Å and the angles 90.00°, 90.00° and 90.00°. The inequivalent atoms are V at (0.000, 0.000, 0.000), Hg at (0.000, 0.000, 0.500), As at (0.000, 0.500, 0.000) and C at (0.500, 0.500, 0.500).

=====

[2]
Material: YHg2AsC
Method: DFT, PBE
State: relaxed

For the density of states at the Fermi level, the calculation gives 4.9 states/eV per cell. The electronic total energy comes out at -13.11 eV per formula unit. The energy of formation from the pure elements comes out at 1566 meV per atom.

The structure belongs to space group P4/mmm (No. 123); the cell edges are 6.132, 6.132 and 5.364 Å and the angles 90.00°, 90.00° and 90.00°. The inequivalent atoms are Y at (0.000, 0.000, 0.000), Hg at (0.000, 0.500, 0.000), As at (0.000, 0.000, 0.500) and C at (0.500, 0.500, 0.500).

=====

[3]
Material: Ho4As2C
Method: DFT, PBE
State: relaxed

For the density of states at the Fermi level, the calculation gives 5.6 states/eV per cell. The electronic total energy comes out at -42.91 eV per formula unit. The energy of formation from the pure elements comes out at -869 meV per atom.

The structure belongs to space group C2/m (No. 12); the cell edges are 11.799, 3.814 and 7.820 Å and the angles 90.00°, 118.02° and 90.00°. The inequivalent atoms are Ho at (0.066, 0.000, 0.350), Ho at (0.151, 0.500, 0.061), As at (0.152, 0.500, 0.687) and C at (0.000, 0.000, 0.000).

=====

[4]
Material: Ho8As2C3
Method: DFT, PBE
State: relaxed

For the density of states at the Fermi level, the calculation gives 20.4 states/eV per cell. The electronic total energy comes out at -81.20 eV per formula unit. The energy of formation from the pure elements comes out at -585 meV per atom.

The structure belongs to space group C2/m (No. 12); the cell edges are 14.051, 7.219 and 6.333 Å and the angles 90.00°, 107.46° and 90.00°. The inequivalent atoms are Ho at (0.098, 0.000, 0.402), Ho at (0.099, 0.500, 0.410), Ho at (0.101, 0.239, 0.895), As at (0.246, 0.500, 0.175), C at (0.000, 0.000, 0.000) and C at (0.000, 0.254, 0.500).